PBE Pr2HfPaN4, optimized geometry; theoretical density = 10.16 g cm⁻³; calculated volume = 122.2 Å³/cell; magnetization = 0.00 μB per atom; space-group type = No. 10; energy relative to the elements, uncorrected = -1.565 eV per atom
1.0
5.9806 0.0000 0.0000
0.0000 3.4758 0.0000
-1.9640 0.0000 5.8766
Pr Hf Pa N
2 1 1 4
Direct
0.0000 0.0000 0.0000
0.5000 0.5000 0.0000
0.0000 0.5000 0.5000
0.5000 0.0000 0.5000
0.2286 0.0000 0.7012
0.2543 0.5000 0.2961
0.7457 0.5000 0.7039
0.7714 0.0000 0.2988